No. 1
The following is a PBE calculation of crystalline MnGe2BBr at its relaxed geometry, from Alexandria.

```
MnGe2BBr
1.0
5.224 0.000 0.000
0.000 5.224 0.000
0.000 0.000 4.232
Mn Ge B Br
1 2 1 1
direct
0.000 0.000 0.000
0.000 0.500 0.500
0.500 0.000 0.500
0.500 0.500 0.000
0.500 0.500 0.500
```

## Properties
Raw formation energy (eV/atom): 1.64
V (Å³ per atom): 23.10
DOS(E_F) (states/eV/f.u.): 3.19
Energy (Ry per atom): -0.27307

No. 2
The following is a PBE calculation of crystalline GeBSe2Br at its relaxed geometry, from Alexandria.

```
GeBSe2Br
1.0
4.547 0.000 0.000
0.000 4.547 0.000
0.000 0.000 4.728
Ge B Se Br
1 1 2 1
direct
0.000 0.000 0.000
0.500 0.500 0.500
0.000 0.500 0.500
0.500 0.000 0.500
0.500 0.500 0.000
```

## Properties
Raw formation energy (eV/atom): 0.59
V (Å³ per atom): 19.55
DOS(E_F) (states/eV/f.u.): 2.45
Energy (Ry per atom): -0.24949

No. 3
The following is a PBE calculation of crystalline GeBSeBr2 at its relaxed geometry, from Alexandria.

```
GeBSeBr2
1.0
5.282 0.000 0.000
0.000 5.282 0.000
0.000 0.000 5.107
Ge B Se Br
1 1 1 2
direct
0.000 0.000 0.000
0.500 0.500 0.500
0.000 0.000 0.500
0.000 0.500 0.000
0.500 0.000 0.000
```

## Properties
Raw formation energy (eV/atom): 0.92
V (Å³ per atom): 28.49
DOS(E_F) (states/eV/f.u.): 5.63
Energy (Ry per atom): -0.19897

No. 4
The following is a PBE calculation of crystalline GeBSeBr2 at its relaxed geometry, from Alexandria.

```
GeBSeBr2
1.0
4.606 0.000 0.000
0.000 4.606 0.000
0.000 0.000 4.850
Ge B Se Br
1 1 1 2
direct
0.000 0.000 0.000
0.500 0.500 0.500
0.500 0.500 0.000
0.000 0.500 0.500
0.500 0.000 0.500
```

## Properties
Raw formation energy (eV/atom): 0.57
V (Å³ per atom): 20.58
DOS(E_F) (states/eV/f.u.): 1.51
Energy (Ry per atom): -0.22459

No. 5
The following is a PBE calculation of crystalline GeBSe2Br at its relaxed geometry, from Alexandria.

```
GeBSe2Br
1.0
4.983 0.000 0.000
0.000 4.983 0.000
0.000 0.000 5.376
Ge B Se Br
1 1 2 1
direct
0.000 0.000 0.000
0.500 0.500 0.500
0.000 0.500 0.000
0.500 0.000 0.000
0.000 0.000 0.500
```

## Properties
Raw formation energy (eV/atom): 1.09
V (Å³ per atom): 26.69
DOS(E_F) (states/eV/f.u.): 3.13
Energy (Ry per atom): -0.21271

No. 6
The following is a PBE calculation of crystalline SnGeB2Br at its relaxed geometry, from Alexandria.

```
SnGeB2Br
1.0
4.474 0.000 0.000
0.000 4.474 0.000
0.000 0.000 5.783
Sn Ge B Br
1 1 2 1
direct
0.000 0.000 0.000
0.500 0.500 0.500
0.000 0.500 0.000
0.500 0.000 0.000
0.000 0.000 0.500
```

## Properties
Raw formation energy (eV/atom): 1.57
V (Å³ per atom): 23.15
DOS(E_F) (states/eV/f.u.): 3.45
Energy (Ry per atom): -0.23246

No. 7
The following is a PBE calculation of crystalline TaGe2BBr at its relaxed geometry, from Alexandria.

```
TaGe2BBr
1.0
5.184 0.000 0.000
0.000 5.184 0.000
0.000 0.000 4.736
Ta Ge B Br
1 2 1 1
direct
0.000 0.000 0.000
0.000 0.500 0.500
0.500 0.000 0.500
0.500 0.500 0.000
0.000 0.000 0.500
```

## Properties
Raw formation energy (eV/atom): 2.25
V (Å³ per atom): 25.46
DOS(E_F) (states/eV/f.u.): 4.25
Energy (Ry per atom): -0.26760

No. 8
The following is a PBE calculation of crystalline TcGeB2Br at its relaxed geometry, from Alexandria.

```
TcGeB2Br
1.0
4.058 0.000 0.000
0.000 4.058 0.000
0.000 0.000 5.553
Tc Ge B Br
1 1 2 1
direct
0.000 0.000 0.000
0.500 0.500 0.500
0.000 0.500 0.500
0.500 0.000 0.500
0.500 0.500 0.000
```

## Properties
Raw formation energy (eV/atom): 1.88
V (Å³ per atom): 18.29
DOS(E_F) (states/eV/f.u.): 3.62
Energy (Ry per atom): -0.30315

No. 9
The following is a PBE calculation of crystalline Zr2GeBBr at its relaxed geometry, from Alexandria.

```
Zr2GeBBr
1.0
5.210 0.000 0.000
0.000 5.210 0.000
0.000 0.000 3.732
Zr Ge B Br
2 1 1 1
direct
0.000 0.500 0.000
0.500 0.000 0.000
0.000 0.000 0.000
0.000 0.000 0.500
0.500 0.500 0.500
```

## Properties
Raw formation energy (eV/atom): 0.47
V (Å³ per atom): 20.26
DOS(E_F) (states/eV/f.u.): 2.74
Energy (Ry per atom): -0.40711

No. 10
The following is a PBE calculation of crystalline BH3Br at its relaxed geometry, from Alexandria.

```
BH3Br
1.0
3.437 0.000 0.000
0.000 3.437 0.000
0.000 0.000 3.437
B H Br
1 3 1
direct
0.000 0.000 0.000
0.000 0.000 0.500
0.000 0.500 0.000
0.500 0.000 0.000
0.500 0.500 0.500
```

## Properties
V (Å³ per atom): 8.12
DOS(E_F) (states/eV/f.u.): 2.50
Energy (Ry per atom): -0.18429

No. 11
The following is a PBE calculation of crystalline B5H6Br at its relaxed geometry, from Alexandria.

```
B5H6Br
1.0
13.584 0.000 0.000
0.000 7.570 0.000
-4.514 0.000 11.359
B H Br
40 48 8
direct
0.108 0.023 0.364
0.108 0.477 0.864
0.133 0.701 0.897
0.133 0.799 0.397
0.150 0.610 0.769
0.150 0.890 0.269
0.168 0.514 0.015
0.168 0.986 0.515
0.204 0.176 0.451
0.204 0.324 0.951
0.207 0.104 0.313
0.207 0.396 0.813
0.235 0.727 0.349
0.235 0.773 0.849
0.289 0.576 0.814
0.289 0.924 0.314
0.299 0.069 0.567
0.299 0.431 0.067
0.325 0.115 0.437
0.325 0.385 0.937
0.675 0.615 0.063
0.675 0.885 0.563
0.701 0.569 0.933
0.701 0.931 0.433
0.711 0.076 0.686
0.711 0.424 0.186
0.765 0.227 0.151
0.765 0.273 0.651
0.793 0.604 0.187
0.793 0.896 0.687
0.796 0.676 0.049
0.796 0.824 0.549
0.832 0.014 0.485
0.832 0.486 0.985
0.850 0.110 0.731
0.850 0.390 0.231
0.867 0.201 0.603
0.867 0.299 0.103
0.892 0.523 0.136
0.892 0.977 0.636
0.017 0.065 0.331
0.017 0.435 0.831
0.066 0.696 0.397
0.066 0.804 0.897
0.093 0.635 0.670
0.093 0.865 0.170
0.121 0.513 0.080
0.121 0.987 0.580
0.180 0.176 0.963
0.180 0.324 0.463
0.198 0.211 0.239
0.198 0.289 0.739
0.224 0.716 0.453
0.224 0.784 0.953
0.249 0.581 0.321
0.249 0.919 0.821
0.260 0.590 0.077
0.260 0.910 0.577
0.331 0.697 0.898
0.331 0.803 0.398
0.351 0.119 0.663
0.351 0.381 0.163
0.368 0.503 0.022
0.368 0.997 0.522
0.632 0.003 0.478
0.632 0.497 0.978
0.649 0.619 0.837
0.649 0.881 0.337
0.669 0.197 0.602
0.669 0.303 0.102
0.740 0.090 0.423
0.740 0.410 0.923
0.751 0.081 0.179
0.751 0.419 0.679
0.776 0.216 0.047
0.776 0.284 0.547
0.802 0.711 0.261
0.802 0.789 0.761
0.820 0.676 0.537
0.820 0.824 0.037
0.879 0.013 0.420
0.879 0.487 0.920
0.907 0.135 0.830
0.907 0.365 0.330
0.934 0.196 0.103
0.934 0.304 0.603
0.983 0.565 0.169
0.983 0.935 0.669
0.373 0.585 0.714
0.373 0.915 0.214
0.440 0.224 0.945
0.440 0.276 0.445
0.560 0.724 0.555
0.560 0.776 0.055
0.627 0.085 0.786
0.627 0.415 0.286
```

## Properties
V (Å³ per atom): 12.17
DOS(E_F) (states/eV/f.u.): 0.00
Energy (Ry per atom): -0.34926